Model 1:
## CdGe2Te2 (PBE)

Data for CdGe2Te2 after structural relaxation.

Computed properties:
- Density: 6.40 g/cm3
- Total magnetization: 0.00 μB per formula unit

```
data_CdGe2Te2
_chemical_formula_sum 'Cd2 Ge4 Te4'
_space_group_name_H-M_alt 'P 1'
_space_group_IT_number 1
_space_group_name_Hall 'P 1'
_cell_length_a 8.2533
_cell_length_b 8.2533
_cell_length_c 3.9094
_cell_angle_alpha 90.00
_cell_angle_beta 90.00
_cell_angle_gamma 90.00
loop_
_atom_site_label
_atom_site_type_symbol
_atom_site_fract_x
_atom_site_fract_y
_atom_site_fract_z
Cd1 Cd 0.0000 0.0000 0.0000
Cd2 Cd 0.5000 0.5000 0.0000
Ge1 Ge 0.1549 0.3451 0.5000
Ge2 Ge 0.3451 0.8451 0.5000
Ge3 Ge 0.6549 0.1549 0.5000
Ge4 Ge 0.8451 0.6549 0.5000
Te1 Te 0.1612 0.6612 0.0000
Te2 Te 0.3388 0.1612 0.0000
Te3 Te 0.6612 0.8388 0.0000
Te4 Te 0.8388 0.3388 0.0000
```



Model 2:
## CdGe2Te2 (PBE)

Data for CdGe2Te2 after structural relaxation.

Computed properties:
- Density: 6.62 g/cm3
- Total magnetization: 0.00 μB per formula unit

```
data_CdGe2Te2
_chemical_formula_sum 'Cd2 Ge4 Te4'
_space_group_name_H-M_alt 'P 1'
_space_group_IT_number 1
_space_group_name_Hall 'P 1'
_cell_length_a 7.9889
_cell_length_b 7.9889
_cell_length_c 4.0305
_cell_angle_alpha 90.00
_cell_angle_beta 90.00
_cell_angle_gamma 90.00
loop_
_atom_site_label
_atom_site_type_symbol
_atom_site_fract_x
_atom_site_fract_y
_atom_site_fract_z
Cd1 Cd 0.0000 0.0000 0.0000
Cd2 Cd 0.5000 0.5000 0.0000
Ge1 Ge 0.1397 0.3603 0.0000
Ge2 Ge 0.3603 0.8603 0.0000
Ge3 Ge 0.6397 0.1397 0.0000
Ge4 Ge 0.8603 0.6397 0.0000
Te1 Te 0.1654 0.6654 0.5000
Te2 Te 0.3346 0.1654 0.5000
Te3 Te 0.6654 0.8346 0.5000
Te4 Te 0.8346 0.3346 0.5000
```



Which of them is least stable? Easy: model 1.



Model 1:
## CdGe2Te2 (PBE)

Data for CdGe2Te2 after structural relaxation.

Computed properties:
- Density: 5.00 g/cm3
- Total magnetization: 0.00 μB per formula unit

```
data_CdGe2Te2
_chemical_formula_sum 'Cd1 Ge2 Te2'
_space_group_name_H-M_alt 'P 1'
_space_group_IT_number 1
_space_group_name_Hall 'P 1'
_cell_length_a 7.5047
_cell_length_b 7.5047
_cell_length_c 7.5047
_cell_angle_alpha 140.39
_cell_angle_beta 140.39
_cell_angle_gamma 57.26
loop_
_atom_site_label
_atom_site_type_symbol
_atom_site_fract_x
_atom_site_fract_y
_atom_site_fract_z
Cd1 Cd 0.0000 0.0000 0.0000
Ge1 Ge 0.2500 0.7500 0.5000
Ge2 Ge 0.7500 0.2500 0.5000
Te1 Te 0.3552 0.3552 0.0000
Te2 Te 0.6448 0.6448 0.0000
```



Model 2:
## CdGe2Te2 (PBE)

Data for CdGe2Te2 after structural relaxation.

Computed properties:
- Density: 6.18 g/cm3
- Total magnetization: 0.00 μB per formula unit

```
data_CdGe2Te2
_chemical_formula_sum 'Cd1 Ge2 Te2'
_space_group_name_H-M_alt 'P 1'
_space_group_IT_number 1
_space_group_name_Hall 'P 1'
_cell_length_a 5.8288
_cell_length_b 5.8288
_cell_length_c 5.8288
_cell_angle_alpha 121.03
_cell_angle_beta 121.03
_cell_angle_gamma 88.23
loop_
_atom_site_label
_atom_site_type_symbol
_atom_site_fract_x
_atom_site_fract_y
_atom_site_fract_z
Cd1 Cd 0.0000 0.0000 0.0000
Ge1 Ge 0.3371 0.3371 0.0000
Ge2 Ge 0.6629 0.6629 0.0000
Te1 Te 0.2500 0.7500 0.5000
Te2 Te 0.7500 0.2500 0.5000
```



Which of them is least stable? Easy: model 1.



Model 1:
## Cd2GeTe (PBE)

Data for Cd2GeTe after structural relaxation.

Computed properties:
- Density: 5.45 g/cm3
- Total magnetization: 0.00 μB per formula unit

```
data_Cd2GeTe
_chemical_formula_sum 'Cd4 Ge2 Te2'
_space_group_name_H-M_alt 'P 1'
_space_group_IT_number 1
_space_group_name_Hall 'P 1'
_cell_length_a 7.4036
_cell_length_b 7.4036
_cell_length_c 7.4036
_cell_angle_alpha 125.59
_cell_angle_beta 125.59
_cell_angle_gamma 80.57
loop_
_atom_site_label
_atom_site_type_symbol
_atom_site_fract_x
_atom_site_fract_y
_atom_site_fract_z
Cd1 Cd 0.1035 0.6250 0.9785
Cd2 Cd 0.3750 0.3535 0.4785
Cd3 Cd 0.6465 0.1250 0.0215
Cd4 Cd 0.8750 0.8965 0.5215
Ge1 Ge 0.0000 0.0000 0.0000
Ge2 Ge 0.7500 0.2500 0.5000
Te1 Te 0.2500 0.7500 0.5000
Te2 Te 0.5000 0.5000 0.0000
```



Model 2:
## Cd2GeTe (PBE)

Data for Cd2GeTe after structural relaxation.

Computed properties:
- Density: 7.20 g/cm3
- Total magnetization: 0.00 μB per formula unit

```
data_Cd2GeTe
_chemical_formula_sum 'Cd2 Ge1 Te1'
_space_group_name_H-M_alt 'P 1'
_space_group_IT_number 1
_space_group_name_Hall 'P 1'
_cell_length_a 5.1744
_cell_length_b 5.1744
_cell_length_c 5.1744
_cell_angle_alpha 60.00
_cell_angle_beta 60.00
_cell_angle_gamma 60.00
loop_
_atom_site_label
_atom_site_type_symbol
_atom_site_fract_x
_atom_site_fract_y
_atom_site_fract_z
Cd1 Cd 0.2500 0.2500 0.2500
Cd2 Cd 0.7500 0.7500 0.7500
Ge1 Ge 0.0000 0.0000 0.0000
Te1 Te 0.5000 0.5000 0.5000
```



Which of them is least stable? Easy: model 2.



Model 1:
## Cd2Ge2Te (PBE)

Data for Cd2Ge2Te after structural relaxation.

Computed properties:
- Density: 6.98 g/cm3
- Total magnetization: 0.00 μB per formula unit

```
data_Cd2Ge2Te
_chemical_formula_sum 'Cd4 Ge4 Te2'
_space_group_name_H-M_alt 'P 1'
_space_group_IT_number 1
_space_group_name_Hall 'P 1'
_cell_length_a 8.7790
_cell_length_b 8.7790
_cell_length_c 3.0724
_cell_angle_alpha 90.00
_cell_angle_beta 90.00
_cell_angle_gamma 90.00
loop_
_atom_site_label
_atom_site_type_symbol
_atom_site_fract_x
_atom_site_fract_y
_atom_site_fract_z
Cd1 Cd 0.1252 0.3748 0.0000
Cd2 Cd 0.3748 0.8748 0.0000
Cd3 Cd 0.6252 0.1252 0.0000
Cd4 Cd 0.8748 0.6252 0.0000
Ge1 Ge 0.1771 0.6771 0.5000
Ge2 Ge 0.3229 0.1771 0.5000
Ge3 Ge 0.6771 0.8229 0.5000
Ge4 Ge 0.8229 0.3229 0.5000
Te1 Te 0.0000 0.0000 0.5000
Te2 Te 0.5000 0.5000 0.5000
```



Model 2:
## Cd2Ge2Te (PBE)

Data for Cd2Ge2Te after structural relaxation.

Computed properties:
- Density: 6.89 g/cm3
- Total magnetization: 0.00 μB per formula unit

```
data_Cd2Ge2Te
_chemical_formula_sum 'Cd2 Ge2 Te1'
_space_group_name_H-M_alt 'P 1'
_space_group_IT_number 1
_space_group_name_Hall 'P 1'
_cell_length_a 8.4552
_cell_length_b 8.4552
_cell_length_c 8.4552
_cell_angle_alpha 153.52
_cell_angle_beta 153.52
_cell_angle_gamma 37.80
loop_
_atom_site_label
_atom_site_type_symbol
_atom_site_fract_x
_atom_site_fract_y
_atom_site_fract_z
Cd1 Cd 0.1009 0.1009 0.0000
Cd2 Cd 0.8991 0.8991 0.0000
Ge1 Ge 0.2500 0.7500 0.5000
Ge2 Ge 0.7500 0.2500 0.5000
Te1 Te 0.5000 0.5000 0.0000
```



Model 3:
## Cd2Ge2Te (PBE)

Data for Cd2Ge2Te after structural relaxation.

Computed properties:
- Density: 6.95 g/cm3
- Total magnetization: 0.00 μB per formula unit

```
data_Cd2Ge2Te
_chemical_formula_sum 'Cd4 Ge4 Te2'
_space_group_name_H-M_alt 'P 1'
_space_group_IT_number 1
_space_group_name_Hall 'P 1'
_cell_length_a 8.7255
_cell_length_b 8.7255
_cell_length_c 3.1236
_cell_angle_alpha 90.00
_cell_angle_beta 90.00
_cell_angle_gamma 90.00
loop_
_atom_site_label
_atom_site_type_symbol
_atom_site_fract_x
_atom_site_fract_y
_atom_site_fract_z
Cd1 Cd 0.1846 0.3154 0.0000
Cd2 Cd 0.3154 0.8154 0.0000
Cd3 Cd 0.6846 0.1846 0.0000
Cd4 Cd 0.8154 0.6846 0.0000
Ge1 Ge 0.1084 0.6084 0.5000
Ge2 Ge 0.3916 0.1084 0.5000
Ge3 Ge 0.6084 0.8916 0.5000
Ge4 Ge 0.8916 0.3916 0.5000
Te1 Te 0.0000 0.0000 0.0000
Te2 Te 0.5000 0.5000 0.0000
```



Which of them is least stable? Easy: model 3.